Record 1
Here is a geometry-optimized Li2VCrP2O8F2 structure from the Alexandria database. Energies are from GGA+U.

Cell and atoms, written as CIF:
```
data_Li2VCrP2O8F2
_chemical_formula_sum 'Li6 V3 Cr3 P6 O24 F6'
_cell_length_a 5.209
_cell_length_b 7.360
_cell_length_c 14.974
_cell_angle_alpha 93.91
_cell_angle_beta 92.28
_cell_angle_gamma 108.65
_space_group_name_H-M_alt 'P -1'
_space_group_IT_number 2
_space_group_name_Hall '-P 1'
loop_
_atom_site_label
_atom_site_type_symbol
_atom_site_fract_x
_atom_site_fract_y
_atom_site_fract_z
_atom_site_occupancy
Li1 Li 0.066 0.479 0.294 1
Li2 Li 0.268 0.852 0.038 1
Li3 Li 0.401 0.818 0.628 1
V1 V 0.000 0.500 0.500 1
V2 V 0.333 0.333 0.834 1
Cr1 Cr 0.000 0.000 0.500 1
Cr2 Cr 0.335 0.834 0.833 1
P1 P 0.107 0.050 0.286 1
P2 P 0.225 0.283 0.049 1
P3 P 0.440 0.382 0.619 1
O1 O 0.009 0.152 0.763 1
O2 O 0.046 0.837 0.914 1
O3 O 0.103 0.837 0.721 1
O4 O 0.142 0.291 0.948 1
O5 O 0.192 0.045 0.386 1
O6 O 0.238 0.501 0.612 1
O7 O 0.287 0.500 0.418 1
O8 O 0.322 0.182 0.570 1
O9 O 0.341 0.485 0.097 1
O10 O 0.377 0.169 0.248 1
O11 O 0.434 0.170 0.055 1
O12 O 0.475 0.625 0.281 1
F1 F 0.155 0.793 0.523 1
F2 F 0.179 0.551 0.810 1
F3 F 0.489 0.116 0.856 1
```

Output
**Energy**: -6.955 eV per atom
**Offset from the most stable computed form**: 0.00 eV per formula unit
**Magnetic moment**: 0.313 μB/atom


Record 2
Here is a geometry-optimized Li2VCrP2O8F2 structure from the Alexandria database. Energies are from GGA+U.

Cell and atoms, written as CIF:
```
data_Li2VCrP2O8F2
_chemical_formula_sum 'Li2 V1 Cr1 P2 O8 F2'
_cell_length_a 5.225
_cell_length_b 5.369
_cell_length_c 7.351
_cell_angle_alpha 106.99
_cell_angle_beta 108.48
_cell_angle_gamma 98.11
_space_group_name_H-M_alt 'P -1'
_space_group_IT_number 2
_space_group_name_Hall '-P 1'
loop_
_atom_site_label
_atom_site_type_symbol
_atom_site_fract_x
_atom_site_fract_y
_atom_site_fract_z
_atom_site_occupancy
Li1 Li 0.226 0.381 0.311 1
V1 V 0.500 0.000 0.500 1
Cr1 Cr 0.500 0.000 0.000 1
P1 P 0.180 0.360 0.739 1
O1 O 0.130 0.754 0.414 1
O2 O 0.192 0.661 0.842 1
O3 O 0.252 0.216 0.893 1
O4 O 0.372 0.335 0.611 1
F1 F 0.371 0.070 0.232 1
```

Output
**Energy**: -6.952 eV per atom
**Offset from the most stable computed form**: 0.04 eV per formula unit
**Magnetic moment**: 0.313 μB/atom


Record 3
Here is a geometry-optimized LiCrPbF6 structure from the Alexandria database. Energies are from GGA+U.

Cell and atoms, written as CIF:
```
data_LiCrPbF6
_chemical_formula_sum 'Li2 Cr2 Pb2 F12'
_cell_length_a 5.3064
_cell_length_b 5.3064
_cell_length_c 10.5961
_cell_angle_alpha 90.00
_cell_angle_beta 90.00
_cell_angle_gamma 120.00
_space_group_name_H-M_alt 'P -3 1 c'
_space_group_IT_number 163
_space_group_name_Hall '-P 3 2c'
loop_
_atom_site_label
_atom_site_type_symbol
_atom_site_fract_x
_atom_site_fract_y
_atom_site_fract_z
_atom_site_occupancy
Li1 Li 0.3333 0.6667 0.2500 1
Cr1 Cr 0.3333 0.6667 0.7500 1
Pb1 Pb 0.0000 0.0000 0.0000 1
F1 F 0.0171 0.3762 0.6464 1
```

Output
**Energy**: -5.419 eV per atom
**Magnetic moment**: 0.333 μB/atom


Record 4
Here is a geometry-optimized Li2CrPbF8 structure from the Alexandria database. Energies are from GGA+U.

Cell and atoms, written as CIF:
```
data_Li2CrPbF8
_chemical_formula_sum 'Li4 Cr2 Pb2 F16'
_cell_length_a 7.378
_cell_length_b 6.346
_cell_length_c 7.109
_cell_angle_alpha 90.00
_cell_angle_beta 98.38
_cell_angle_gamma 90.00
_space_group_name_H-M_alt 'C 1 2/m 1'
_space_group_IT_number 12
_space_group_name_Hall '-C 2y'
loop_
_atom_site_label
_atom_site_type_symbol
_atom_site_fract_x
_atom_site_fract_y
_atom_site_fract_z
_atom_site_occupancy
Li1 Li 0.040 0.000 0.215 1
Cr1 Cr 0.000 0.500 0.500 1
Pb1 Pb 0.000 0.500 0.000 1
F1 F 0.002 0.293 0.308 1
F2 F 0.173 0.000 0.996 1
F3 F 0.248 0.500 0.543 1
```

Output
**Energy**: -5.044 eV per atom
**Magnetic moment**: 0.165 μB/atom


Record 5
Here is a geometry-optimized LiCrPdF6 structure from the Alexandria database. Energies are from GGA+U.

Cell and atoms, written as CIF:
```
data_LiCrPdF6
_chemical_formula_sum 'Li2 Cr2 Pd2 F12'
_cell_length_a 5.1802
_cell_length_b 5.1802
_cell_length_c 9.3208
_cell_angle_alpha 90.00
_cell_angle_beta 90.00
_cell_angle_gamma 120.00
_space_group_name_H-M_alt 'P -3 1 c'
_space_group_IT_number 163
_space_group_name_Hall '-P 3 2c'
loop_
_atom_site_label
_atom_site_type_symbol
_atom_site_fract_x
_atom_site_fract_y
_atom_site_fract_z
_atom_site_occupancy
Li1 Li 0.3333 0.6667 0.2500 1
Cr1 Cr 0.3333 0.6667 0.7500 1
Pd1 Pd 0.0000 0.0000 0.0000 1
F1 F 0.0128 0.3594 0.6353 1
```

Output
**Energy**: -5.121 eV per atom
**Magnetic moment**: 0.117 μB/atom


Record 6
Here is a geometry-optimized Li2PrCrF8 structure from the Alexandria database. Energies are from GGA+U.

Cell and atoms, written as CIF:
```
data_Li2PrCrF8
_chemical_formula_sum 'Li2 Pr1 Cr1 F8'
_cell_length_a 4.281
_cell_length_b 4.990
_cell_length_c 7.164
_cell_angle_alpha 96.22
_cell_angle_beta 90.86
_cell_angle_gamma 92.51
_space_group_name_H-M_alt 'P -1'
_space_group_IT_number 2
_space_group_name_Hall '-P 1'
loop_
_atom_site_label
_atom_site_type_symbol
_atom_site_fract_x
_atom_site_fract_y
_atom_site_fract_z
_atom_site_occupancy
Li1 Li 0.031 0.467 0.306 1
Pr1 Pr 0.500 0.000 0.000 1
Cr1 Cr 0.500 0.000 0.500 1
F1 F 0.073 0.261 0.055 1
F2 F 0.170 0.255 0.513 1
F3 F 0.339 0.772 0.270 1
F4 F 0.349 0.782 0.696 1
```

Output
**Energy**: -5.779 eV per atom
**Magnetic moment**: 0.250 μB/atom


Repeat the third record exactly.
Here is a geometry-optimized LiCrPbF6 structure from the Alexandria database. Energies are from GGA+U.

Cell and atoms, written as CIF:
```
data_LiCrPbF6
_chemical_formula_sum 'Li2 Cr2 Pb2 F12'
_cell_length_a 5.3064
_cell_length_b 5.3064
_cell_length_c 10.5961
_cell_angle_alpha 90.00
_cell_angle_beta 90.00
_cell_angle_gamma 120.00
_space_group_name_H-M_alt 'P -3 1 c'
_space_group_IT_number 163
_space_group_name_Hall '-P 3 2c'
loop_
_atom_site_label
_atom_site_type_symbol
_atom_site_fract_x
_atom_site_fract_y
_atom_site_fract_z
_atom_site_occupancy
Li1 Li 0.3333 0.6667 0.2500 1
Cr1 Cr 0.3333 0.6667 0.7500 1
Pb1 Pb 0.0000 0.0000 0.0000 1
F1 F 0.0171 0.3762 0.6464 1
```

Output
**Energy**: -5.419 eV per atom
**Magnetic moment**: 0.333 μB/atom


What is the formula in the first record? Li2VCrP2O8F2